[1]
# Ba2TaRh, relaxed, DFT PBE-GGA
# * crystal system: tetragonal
# * ΔE_f: 868.2 meV per atom
data_Ba2TaRh
_chemical_formula_sum 'Ba2 Ta1 Rh1'
_symmetry_space_group_name_H-M 'P 4/m m m'
_symmetry_Int_Tables_number 123
_symmetry_space_group_name_Hall '-P 4 2'
_cell_length_a 3.415
_cell_length_b 3.415
_cell_length_c 9.727
_cell_angle_alpha 90.00
_cell_angle_beta 90.00
_cell_angle_gamma 90.00
loop_
_atom_site_label
_atom_site_fract_x
_atom_site_fract_y
_atom_site_fract_z
Ba1 0.000 0.000 0.215
Ta1 0.500 0.500 0.500
Rh1 0.500 0.500 0.000

[2]
# SmNi5B2, relaxed, DFT PBE-GGA
# * crystal system: orthorhombic
# * ΔE_f: -400.2 meV per atom
data_SmNi5B2
_chemical_formula_sum 'Sm2 Ni10 B4'
_symmetry_space_group_name_H-M 'I m m m'
_symmetry_Int_Tables_number 71
_symmetry_space_group_name_Hall '-I 2 2'
_cell_length_a 3.486
_cell_length_b 6.185
_cell_length_c 8.549
_cell_angle_alpha 90.00
_cell_angle_beta 90.00
_cell_angle_gamma 90.00
loop_
_atom_site_label
_atom_site_fract_x
_atom_site_fract_y
_atom_site_fract_z
Sm1 0.000 0.000 0.000
Ni1 0.000 0.191 0.339
Ni2 0.000 0.500 0.000
B1 0.000 0.500 0.234

[3]
# Nd3Dy2Er6Zr, relaxed, DFT PBE-GGA
# * crystal system: monoclinic
# * ΔE_f: 45.1 meV per atom
data_Nd3Dy2Er6Zr
_chemical_formula_sum 'Nd6 Dy4 Er12 Zr2'
_symmetry_space_group_name_H-M 'C 1 2/m 1'
_symmetry_Int_Tables_number 12
_cell_length_a 6.119
_cell_length_b 10.588
_cell_length_c 11.626
_cell_angle_alpha 90.00
_cell_angle_beta 100.08
_cell_angle_gamma 90.00
loop_
_symmetry_equiv_pos_as_xyz
'x,y,z'
'-x,-y,-z'
'-x,y,-z'
'x,-y,z'
'x+1/2,y+1/2,z'
'-x+1/2,-y+1/2,-z'
'-x+1/2,y+1/2,-z'
'x+1/2,-y+1/2,z'
loop_
_atom_site_label
_atom_site_fract_x
_atom_site_fract_y
_atom_site_fract_z
Nd1 0.000 0.000 0.000
Nd2 0.000 0.334 0.000
Dy1 0.000 0.167 0.500
Er1 0.243 0.337 0.742
Er2 0.246 0.500 0.259
Zr1 0.000 0.500 0.500

[4]
# Nd2YIO8, relaxed, DFT PBE-GGA
# * crystal system: orthorhombic
# * uncorrected energy: -7.018 eV per atom
data_Nd2YIO8
_chemical_formula_sum 'Nd4 Y2 I2 O16'
_symmetry_space_group_name_H-M 'C m m m'
_symmetry_Int_Tables_number 65
_symmetry_space_group_name_Hall '-C 2 2'
_cell_length_a 7.233
_cell_length_b 7.378
_cell_length_c 6.980
_cell_angle_alpha 90.00
_cell_angle_beta 90.00
_cell_angle_gamma 90.00
loop_
_atom_site_label
_atom_site_fract_x
_atom_site_fract_y
_atom_site_fract_z
Nd1 0.000 0.000 0.249
Y1 0.000 0.500 0.500
I1 0.000 0.500 0.000
O1 0.000 0.325 0.205
O2 0.197 0.000 0.500
O3 0.239 0.000 0.000

[5]
# Ho2ScPaBi4, relaxed, DFT PBE-GGA
# * crystal system: monoclinic
# * ΔE_f: -580.5 meV per atom
data_Ho2ScPaBi4
_chemical_formula_sum 'Ho2 Sc1 Pa1 Bi4'
_symmetry_space_group_name_H-M 'P 1 2/m 1'
_symmetry_Int_Tables_number 10
_cell_length_a 7.647
_cell_length_b 4.417
_cell_length_c 7.679
_cell_angle_alpha 90.00
_cell_angle_beta 109.27
_cell_angle_gamma 90.00
loop_
_symmetry_equiv_pos_as_xyz
'x,y,z'
'-x,-y,-z'
'-x,y,-z'
'x,-y,z'
loop_
_atom_site_label
_atom_site_fract_x
_atom_site_fract_y
_atom_site_fract_z
Ho1 0.000 0.000 0.000
Ho2 0.500 0.500 0.000
Sc1 0.000 0.500 0.500
Pa1 0.500 0.000 0.500
Bi1 0.241 0.000 0.742
Bi2 0.243 0.500 0.251

[6]
# LiSmSn2Rh4, relaxed, DFT PBE-GGA
# * crystal system: trigonal
# * ΔE_f: -626.9 meV per atom
data_LiSmSn2Rh4
_chemical_formula_sum 'Li3 Sm3 Sn6 Rh12'
_symmetry_space_group_name_H-M 'R -3 m'
_symmetry_Int_Tables_number 166
_symmetry_space_group_name_Hall '-R 3 2"'
_cell_length_a 4.5193
_cell_length_b 4.5193
_cell_length_c 23.2823
_cell_angle_alpha 90.00
_cell_angle_beta 90.00
_cell_angle_gamma 120.00
loop_
_atom_site_label
_atom_site_fract_x
_atom_site_fract_y
_atom_site_fract_z
Li1 0.0000 0.0000 0.0000
Sm1 0.0000 0.0000 0.5000
Sn1 0.0000 0.0000 0.2579
Rh1 0.0000 0.0000 0.1125
Rh2 0.0000 0.0000 0.3729

[7]
# SrVH, relaxed, DFT PBE-GGA
# * crystal system: monoclinic
# * uncorrected energy: -4.529 eV per atom
data_SrVH
_chemical_formula_sum 'Sr2 V2 H2'
_symmetry_space_group_name_H-M 'P 1 m 1'
_symmetry_Int_Tables_number 6
_cell_length_a 5.768
_cell_length_b 4.270
_cell_length_c 5.837
_cell_angle_alpha 90.00
_cell_angle_beta 119.50
_cell_angle_gamma 90.00
loop_
_symmetry_equiv_pos_as_xyz
'x,y,z'
'x,-y,z'
loop_
_atom_site_label
_atom_site_fract_x
_atom_site_fract_y
_atom_site_fract_z
Sr1 0.000 0.000 0.000
Sr2 0.333 0.500 0.660
V1 0.666 0.225 0.329
H1 0.790 0.500 0.146
H2 0.984 0.000 0.537

Which formula does entry 3 have?
Nd3Dy2Er6Zr

What did the first record say?
# Ba2TaRh, relaxed, DFT PBE-GGA
# * crystal system: tetragonal
# * ΔE_f: 868.2 meV per atom
data_Ba2TaRh
_chemical_formula_sum 'Ba2 Ta1 Rh1'
_symmetry_space_group_name_H-M 'P 4/m m m'
_symmetry_Int_Tables_number 123
_symmetry_space_group_name_Hall '-P 4 2'
_cell_length_a 3.415
_cell_length_b 3.415
_cell_length_c 9.727
_cell_angle_alpha 90.00
_cell_angle_beta 90.00
_cell_angle_gamma 90.00
loop_
_atom_site_label
_atom_site_fract_x
_atom_site_fract_y
_atom_site_fract_z
Ba1 0.000 0.000 0.215
Ta1 0.500 0.500 0.500
Rh1 0.500 0.500 0.000

Which formula does entry 2 have?
SmNi5B2